Density functional theory data (PBE) for a relaxed structure of Cs4ZrPa3N8.

Geometry as CIF:
```
data_Cs4ZrPa3N8
_chemical_formula_sum 'Cs12 Zr3 Pa9 N24'
_cell_length_a 7.1645
_cell_length_b 7.1645
_cell_length_c 21.2811
_cell_angle_alpha 90.00
_cell_angle_beta 90.00
_cell_angle_gamma 120.00
_space_group_name_H-M_alt 'R -3 m'
_space_group_IT_number 166
_space_group_name_Hall '-R 3 2"'
loop_
_atom_site_label
_atom_site_type_symbol
_atom_site_fract_x
_atom_site_fract_y
_atom_site_fract_z
Cs1 Cs 0.0000 0.0000 0.0000
Cs2 Cs 0.0000 0.5000 0.0000
Zr1 Zr 0.0000 0.0000 0.5000
Pa1 Pa 0.0000 0.5000 0.5000
N1 N 0.0000 0.0000 0.2153
N2 N 0.0009 0.5005 0.2154
```

## Properties
- M_tot: 0.000 μB per atom
- Raw formation energy: -948 meV per atom